Crystalline SnBiMoO6 at its relaxed geometry. Source: Alexandria, functional PBE+U.

Results
- Total magnetization: 2.00 μB per cell
- Energy: -116.174 eV for the cell shown
- Mass density: 7.0 g/cm³

abc: 4.956 4.956 10.037
angles: 90.00 90.00 90.00
Fractional coordinates of all 18 atoms:
O 0.777 0.223 0.482
O 0.674 0.674 0.662
O 0.223 0.777 0.482
O 0.703 0.703 0.350
O 0.826 0.174 0.162
O 0.174 0.826 0.162
O 0.297 0.297 0.350
O 0.797 0.203 0.850
O 0.723 0.723 0.982
O 0.203 0.797 0.850
O 0.277 0.277 0.982
O 0.326 0.326 0.662
Sn 0.500 0.500 0.834
Sn 0.000 0.000 0.334
Bi 0.500 0.500 0.173
Bi 0.000 0.000 0.673
Mo 0.000 0.000 0.003
Mo 0.500 0.500 0.503